Record 1
Material: La2Er3Tm4
Method: DFT, PBE
State: optimized geometry

a = 3.573 Å, b = 3.573 Å, c = 26.199 Å
α = 90.00°, β = 90.00°, γ = 120.00°
Fractional positions:
Er1 0.000 0.000 0.982
Er2 0.000 0.000 0.331
Er3 0.667 0.333 0.648
Tm1 0.000 0.000 0.542
Tm2 0.667 0.333 0.437
Tm3 0.667 0.333 0.226
Tm4 0.000 0.000 0.753
La1 0.667 0.333 0.866
La2 0.667 0.333 0.093

Summary:
The energy relative to the elements comes out at 49 meV per atom.

Record 2
Material: Ba3AuCl
Method: DFT, PBE
State: optimized geometry

a = 6.427 Å, b = 6.427 Å, c = 6.427 Å
α = 90.00°, β = 90.00°, γ = 90.00°
Fractional positions:
Ba1 0.500 0.000 0.000
Ba2 0.000 0.500 0.000
Ba3 0.000 0.000 0.500
Cl1 0.500 0.500 0.500
Au1 0.000 0.000 0.000

Summary:
For the uncorrected formation energy, the calculation gives -642.9 meV/atom.

Record 3
Material: Mg3Ga4Ge
Method: DFT, PBE
State: optimized geometry

a = 3.061 Å, b = 4.674 Å, c = 11.059 Å
α = 89.46°, β = 97.95°, γ = 90.00°
Fractional positions:
Mg1 0.000 0.500 0.000
Mg2 0.865 0.833 0.731
Mg3 0.135 0.167 0.269
Ge1 0.500 0.000 0.000
Ga1 0.272 0.256 0.543
Ga2 0.728 0.744 0.457
Ga3 0.391 0.336 0.782
Ga4 0.609 0.664 0.218

Summary:
The energy relative to the elements comes out at -59 meV per atom.

Record 4
Material: Np2Si3Au5
Method: DFT, PBE
State: optimized geometry

a = 4.449 Å, b = 7.069 Å, c = 12.418 Å
α = 90.00°, β = 100.32°, γ = 90.00°
Fractional positions:
Si1 0.048 0.969 0.095
Si2 0.232 0.198 0.464
Si3 0.396 0.072 0.792
Si4 0.952 0.469 0.905
Si5 0.604 0.572 0.208
Si6 0.768 0.698 0.536
Np1 0.518 0.263 0.037
Np2 0.173 0.737 0.347
Np3 0.827 0.237 0.653
Np4 0.482 0.763 0.963
Au1 0.946 0.062 0.891
Au2 0.398 0.432 0.797
Au3 0.602 0.932 0.203
Au4 0.126 0.217 0.251
Au5 0.282 0.508 0.565
Au6 0.693 0.406 0.386
Au7 0.307 0.906 0.614
Au8 0.718 0.008 0.435
Au9 0.054 0.562 0.109
Au10 0.874 0.717 0.749

Summary:
For the uncorrected formation energy, the calculation gives -173.7 meV/atom.

Record 5
Material: YTaTl2
Method: DFT, PBE
State: optimized geometry

a = 3.341 Å, b = 5.599 Å, c = 5.259 Å
α = 90.00°, β = 90.00°, γ = 90.00°
Fractional positions:
Tl1 0.000 0.000 0.000
Tl2 0.500 0.500 0.000
Y1 0.500 0.000 0.500
Ta1 0.000 0.500 0.500

Summary:
The energy relative to the elements comes out at 346 meV per atom.

Record 6
Material: BSbSe3
Method: DFT, PBE
State: optimized geometry

a = 5.325 Å, b = 5.325 Å, c = 5.325 Å
α = 90.00°, β = 90.00°, γ = 90.00°
Fractional positions:
Se1 0.500 0.000 0.000
Se2 0.000 0.000 0.500
Se3 0.000 0.500 0.000
Sb1 0.000 0.000 0.000
B1 0.500 0.500 0.500

Summary:
For the uncorrected formation energy, the calculation gives 1313.9 meV/atom.

Record 7
Material: Pr4HgRh
Method: DFT, PBE
State: optimized geometry

a = 6.246 Å, b = 8.451 Å, c = 8.398 Å
α = 113.54°, β = 103.38°, γ = 106.21°
Fractional positions:
Pr1 0.957 0.793 0.142
Pr2 0.224 0.300 0.371
Pr3 0.776 0.700 0.629
Pr4 0.316 0.651 0.858
Pr5 0.684 0.349 0.142
Pr6 0.353 0.929 0.629
Pr7 0.043 0.207 0.858
Pr8 0.647 0.071 0.371
Rh1 0.752 0.002 0.004
Rh2 0.248 0.998 0.996
Hg1 0.629 0.379 0.758
Hg2 0.371 0.621 0.242

Summary:
The energy relative to the elements comes out at -379 meV per atom.

Record 8
Material: La3U2PaN6
Method: DFT, PBE
State: optimized geometry

a = 6.178 Å, b = 6.178 Å, c = 6.242 Å
α = 99.50°, β = 99.50°, γ = 120.00°
Fractional positions:
La1 0.834 0.166 0.500
La2 0.500 0.500 0.500
La3 0.166 0.834 0.500
Pa1 0.000 0.000 0.000
N1 0.066 0.406 0.197
N2 0.406 0.066 0.197
N3 0.594 0.934 0.803
N4 0.275 0.275 0.804
N5 0.934 0.594 0.803
N6 0.725 0.725 0.196
U1 0.333 0.667 0.000
U2 0.667 0.333 0.000

Summary:
For the uncorrected formation energy, the calculation gives -1441.9 meV/atom.

Record 9
Material: Ag2HgF4
Method: DFT, PBE
State: optimized geometry

a = 4.711 Å, b = 4.711 Å, c = 6.707 Å
α = 110.56°, β = 110.56°, γ = 90.00°
Fractional positions:
F1 0.000 0.500 0.000
F2 0.811 0.811 0.621
F3 0.189 0.189 0.379
F4 0.500 0.000 0.000
Ag1 0.621 0.621 0.242
Ag2 0.379 0.379 0.758
Hg1 0.000 0.000 0.000

Summary:
For the uncorrected formation energy, the calculation gives -1061.3 meV/atom.

Record 10
Material: ScPaTc
Method: DFT, PBE
State: optimized geometry

a = 3.403 Å, b = 3.403 Å, c = 5.886 Å
α = 106.80°, β = 106.80°, γ = 90.00°
Fractional positions:
Sc1 0.959 0.959 0.919
Tc1 0.631 0.631 0.261
Pa1 0.260 0.260 0.520

Summary:
The energy relative to the elements comes out at -183 meV per atom.

Record 11
Material: CsBaTa
Method: DFT, PBE
State: optimized geometry

a = 6.915 Å, b = 6.915 Å, c = 11.159 Å
α = 90.00°, β = 90.00°, γ = 120.00°
Fractional positions:
Ba1 0.000 0.000 0.750
Ba2 0.000 0.000 0.250
Cs1 0.333 0.667 0.250
Cs2 0.667 0.333 0.750
Ta1 0.000 0.000 0.000
Ta2 0.000 0.000 0.500

Summary:
The energy relative to the elements comes out at 2373 meV per atom.

Record 12
Material: SiSb2
Method: DFT, PBE
State: optimized geometry

a = 6.552 Å, b = 6.552 Å, c = 6.441 Å
α = 90.07°, β = 90.07°, γ = 35.30°
Fractional positions:
Sb1 0.852 0.852 0.227
Sb2 0.853 0.853 0.773
Sb3 0.147 0.147 0.227
Sb4 0.148 0.148 0.773
Si1 0.500 0.500 0.686
Si2 0.500 0.500 0.314

Summary:
For the uncorrected formation energy, the calculation gives 194.7 meV/atom.

Record 13
Material: Pr5Nd8Cd
Method: DFT, PBE
State: optimized geometry

a = 9.065 Å, b = 9.006 Å, c = 9.065 Å
α = 85.57°, β = 123.00°, γ = 122.38°
Fractional positions:
Nd1 0.998 0.055 0.574
Nd2 0.519 0.945 0.943
Nd3 0.510 0.627 0.214
Nd4 0.352 0.314 0.425
Nd5 0.111 0.686 0.038
Nd6 0.008 0.432 0.327
Nd7 0.587 0.373 0.883
Nd8 0.895 0.568 0.576
Pr1 0.687 0.759 0.732
Pr2 0.973 0.241 0.928
Pr3 0.502 0.000 0.502
Pr4 0.950 0.833 0.213
Pr5 0.381 0.167 0.117
Cd1 0.278 0.500 0.778

Summary:
The energy relative to the elements comes out at 107 meV per atom.

Record 14
Material: Cs4Sr3F10
Method: DFT, PBE
State: optimized geometry

a = 4.818 Å, b = 4.818 Å, c = 17.496 Å
α = 97.91°, β = 97.91°, γ = 90.00°
Fractional positions:
F1 0.788 0.788 0.577
F2 0.000 0.500 0.000
F3 0.141 0.641 0.283
F4 0.212 0.212 0.423
F5 0.641 0.141 0.283
F6 0.930 0.930 0.859
F7 0.859 0.359 0.717
F8 0.070 0.070 0.141
F9 0.500 0.000 0.000
F10 0.359 0.859 0.717
Sr1 0.000 0.000 0.000
Sr2 0.860 0.860 0.719
Sr3 0.140 0.140 0.281
Cs1 0.296 0.296 0.592
Cs2 0.432 0.432 0.863
Cs3 0.568 0.568 0.137
Cs4 0.704 0.704 0.408

Summary:
For the uncorrected formation energy, the calculation gives -3336.5 meV/atom.

Record 15
Material: Er6PaSe12
Method: DFT, PBE
State: optimized geometry

a = 8.221 Å, b = 8.221 Å, c = 8.221 Å
α = 99.29°, β = 99.29°, γ = 99.29°
Fractional positions:
Se1 0.671 0.911 0.037
Se2 0.585 0.425 0.821
Se3 0.415 0.575 0.179
Se4 0.425 0.821 0.585
Se5 0.037 0.671 0.911
Se6 0.963 0.329 0.089
Se7 0.575 0.179 0.415
Se8 0.179 0.415 0.575
Se9 0.329 0.089 0.963
Se10 0.821 0.585 0.425
Se11 0.911 0.037 0.671
Se12 0.089 0.963 0.329
Pa1 0.000 0.000 0.000
Er1 0.371 0.668 0.857
Er2 0.857 0.371 0.668
Er3 0.143 0.629 0.332
Er4 0.629 0.332 0.143
Er5 0.332 0.143 0.629
Er6 0.668 0.857 0.371

Summary:
For the uncorrected formation energy, the calculation gives -1635.2 meV/atom.

Record 16
Material: Cu3TeSe4
Method: DFT, PBE
State: optimized geometry

a = 6.969 Å, b = 6.972 Å, c = 8.147 Å
α = 90.00°, β = 90.00°, γ = 90.00°
Fractional positions:
Cu1 0.501 0.337 0.744
Cu2 0.001 0.663 0.756
Cu3 0.001 0.663 0.244
Cu4 0.501 0.337 0.256
Cu5 0.497 0.815 0.000
Cu6 0.997 0.185 0.500
Se1 0.976 0.839 0.500
Se2 0.652 0.218 0.500
Se3 0.656 0.641 0.787
Se4 0.476 0.161 0.000
Se5 0.656 0.641 0.213
Se6 0.152 0.782 0.000
Se7 0.156 0.359 0.713
Se8 0.156 0.359 0.287
Te1 0.575 0.832 0.500
Te2 0.075 0.168 0.000

Summary:
For the uncorrected formation energy, the calculation gives -49.3 meV/atom.

Record 17
Material: Tb3DyH8
Method: DFT, PBE
State: optimized geometry

a = 5.208 Å, b = 5.208 Å, c = 5.208 Å
α = 90.00°, β = 90.00°, γ = 90.00°
Fractional positions:
H1 0.751 0.249 0.249
H2 0.249 0.249 0.249
H3 0.751 0.751 0.249
H4 0.751 0.249 0.751
H5 0.249 0.751 0.751
H6 0.751 0.751 0.751
H7 0.249 0.249 0.751
H8 0.249 0.751 0.249
Tb1 0.500 0.000 0.500
Tb2 0.000 0.500 0.500
Tb3 0.500 0.500 0.000
Dy1 0.000 0.000 0.000

Summary:
The final energy comes out at -4.492 eV/atom.

Record 18
Material: TbIn2AgTe4
Method: DFT, PBE
State: optimized geometry

a = 4.353 Å, b = 7.797 Å, c = 7.631 Å
α = 71.10°, β = 90.00°, γ = 90.00°
Fractional positions:
Te1 0.000 0.742 0.753
Te2 0.000 0.258 0.247
Te3 0.500 0.261 0.745
Te4 0.500 0.739 0.255
Ag1 0.500 0.500 0.000
In1 0.500 0.000 0.500
In2 0.000 0.000 0.000
Tb1 0.000 0.500 0.500

Summary:
For the uncorrected formation energy, the calculation gives -529.2 meV/atom.

Record 19
Material: CaTa2Co2
Method: DFT, PBE
State: optimized geometry

a = 7.767 Å, b = 7.767 Å, c = 2.749 Å
α = 90.00°, β = 90.00°, γ = 90.00°
Fractional positions:
Ta1 0.862 0.638 0.000
Ta2 0.362 0.862 0.000
Ta3 0.638 0.138 0.000
Ta4 0.138 0.362 0.000
Co1 0.347 0.153 0.500
Co2 0.847 0.347 0.500
Co3 0.153 0.653 0.500
Co4 0.653 0.847 0.500
Ca1 0.000 0.000 0.000
Ca2 0.500 0.500 0.000

Summary:
The energy relative to the elements comes out at 147 meV per atom.

Record 20
Material: Hf6GeP
Method: DFT, PBE
State: optimized geometry

a = 6.062 Å, b = 6.065 Å, c = 6.605 Å
α = 62.68°, β = 62.72°, γ = 60.00°
Fractional positions:
Hf1 0.955 0.560 0.244
Hf2 0.440 0.759 0.756
Hf3 0.759 0.045 0.756
Hf4 0.045 0.440 0.756
Hf5 0.241 0.955 0.244
Hf6 0.560 0.241 0.244
P1 0.000 0.000 0.000
Ge1 0.500 0.500 0.500

Summary:
The energy relative to the elements comes out at -188 meV per atom.